Entry 1:
DFT (PBE) results for a geometry-optimized Tl2AsH6 structure.

Properties
Total energy ... -3.101 eV per atom
Space-group type ... P-1

a = 4.4836 Å, b = 7.9541 Å, c = 7.0178 Å
α = 112.56°, β = 110.18°, γ = 123.75°
Last column: nearest neighbours and their distance in Å.
Fractional coordinates of all 9 atoms:
H1 0.5277 0.7287 0.5942  1 As 1.82
H2 0.0260 0.8449 0.3529  1 H 0.76
As1 0.0000 0.0000 0.0000  2 H 1.82
H3 0.9016 0.1390 0.5214  1 H 0.76
H4 0.4723 0.2713 0.4058  1 As 1.82
H5 0.0984 0.8610 0.4786  1 H 0.76
H6 0.9740 0.1551 0.6471  1 H 0.76
Tl1 0.0615 0.6251 0.8682  1 H 2.06
Tl2 0.9385 0.3749 0.1318  1 H 2.06

=====

Entry 2:
DFT (PBE) results for a geometry-optimized MnCdSi structure.

Properties
Energy relative to the lowest polymorph listed for this composition ... 192 meV per atom
Space-group type ... Fmm2
Uncorrected formation energy ... 0.2213 eV per atom

a = 6.3891 Å, b = 6.2959 Å, c = 2.8591 Å
α = 78.80°, β = 75.16°, γ = 26.04°
Last column: nearest neighbours and their distance in Å.
Fractional coordinates of all 3 atoms:
Cd1 0.9937 0.9937 0.0063  4 Mn 2.84-3.04, 4 Cd 2.86, 2 Si 3.02
Mn1 0.3156 0.3156 0.6844  4 Si 2.40-2.63
Si1 0.6907 0.6907 0.3093  4 Mn 2.40-2.63

=====

Entry 3:
DFT (PBE) results for a geometry-optimized Be2CuSe structure.

Properties
Space-group type ... Imm2
Uncorrected formation energy ... 0.2810 eV per atom

a = 5.6269 Å, b = 5.6269 Å, c = 5.6269 Å
α = 145.85°, β = 147.81°, γ = 47.63°
Last column: nearest neighbours and their distance in Å.
Fractional coordinates of all 4 atoms:
Se1 0.2366 0.7366 0.5000  4 Be 2.37
Be1 0.9526 0.9526 0.0000  2 Be 2.27, 4 Cu 2.35
Cu1 0.5099 0.5099 0.0000  4 Be 2.35
Be2 0.8010 0.3010 0.5000  2 Be 2.27, 4 Se 2.37

=====

Entry 4:
DFT (PBE) results for a geometry-optimized NdSc2AlPt4 structure.

Properties
Space-group type ... R-3m
DFT formation energy ... -9.2 eV per formula unit

a = 4.5400 Å, b = 4.5400 Å, c = 8.9568 Å
α = 75.32°, β = 75.32°, γ = 60.00°
Last column: nearest neighbours and their distance in Å.
Fractional coordinates of all 8 atoms:
Sc1 0.2400 0.2400 0.2801  7 Pt 2.71-2.82
Al1 0.5000 0.5000 0.5000  8 Pt 2.56-2.76
Pt1 0.8666 0.8666 0.4002  4 Sc 2.74-2.82, 3 Al 2.76
Pt2 0.5998 0.5998 0.2006  1 Al 2.56, 3 Sc 2.71
Sc2 0.7600 0.7600 0.7199  7 Pt 2.71-2.82
Pt3 0.4002 0.4002 0.7994  1 Al 2.56, 3 Sc 2.71
Pt4 0.1334 0.1334 0.5998  4 Sc 2.74-2.82, 3 Al 2.76
Nd1 0.0000 0.0000 0.0000  8 Pt 3.13-3.43

=====

Entry 5:
DFT (PBE) results for a geometry-optimized LaCl structure.

Properties
Space-group type ... Pm-3m
Uncorrected formation energy ... -1.2428 eV per atom

a = 3.6565 Å, b = 3.6565 Å, c = 3.6565 Å
α = 90.00°, β = 90.00°, γ = 90.00°
Last column: nearest neighbours and their distance in Å.
Fractional coordinates of all 2 atoms:
Cl1 0.0000 0.0000 0.0000  8 La 3.17
La1 0.5000 0.5000 0.5000  8 Cl 3.17

=====

Entry 6:
DFT (PBE) results for a geometry-optimized Ce5TlOs structure.

Properties
Energy relative to the lowest polymorph listed for this composition ... 0 meV per atom
Space-group type ... P4/mmm
DFT formation energy ... -0.8 eV per formula unit

a = 4.9729 Å, b = 4.9729 Å, c = 7.6630 Å
α = 90.00°, β = 90.00°, γ = 90.00°
Last column: nearest neighbours and their distance in Å.
Fractional coordinates of all 7 atoms:
Ce1 0.0000 0.5000 0.2017  2 Os 2.93, 1 Ce 3.09
Ce2 0.5000 0.5000 0.5000  8 Ce 3.38, 4 Tl 3.52
Os1 0.5000 0.5000 0.0000  8 Ce 2.93
Tl1 0.0000 0.0000 0.5000  12 Ce 3.38-3.52
Ce3 0.5000 0.0000 0.2017  2 Os 2.93, 1 Ce 3.09
Ce4 0.0000 0.5000 0.7983  2 Os 2.93, 1 Ce 3.09
Ce5 0.5000 0.0000 0.7983  2 Os 2.93, 1 Ce 3.09

=====

Entry 7:
DFT (PBE) results for a geometry-optimized PrTmTh structure.

Properties
Energy relative to the lowest polymorph listed for this composition ... 10 meV per atom
Space-group type ... P2_1/m
DFT formation energy ... 0.1 eV per formula unit

a = 6.1761 Å, b = 3.5764 Å, c = 10.8034 Å
α = 90.00°, β = 55.18°, γ = 90.00°
Last column: nearest neighbours and their distance in Å.
Fractional coordinates of all 6 atoms:
Th1 0.8061 0.8921 0.0037  5 Tm 3.49-3.57, 4 Th 3.51-3.58, 3 Pr 3.62-3.66
Pr1 0.9825 0.3920 0.6626  6 Pr 3.52-3.61, 3 Th 3.62-3.66, 3 Tm 3.68-3.70
Tm1 0.1530 0.8923 0.3204  4 Tm 3.45-3.58, 5 Th 3.49-3.57, 3 Pr 3.68-3.70
Tm2 0.3010 0.3920 0.0080  4 Tm 3.45-3.58, 5 Th 3.49-3.57, 3 Pr 3.68-3.70
Th2 0.6479 0.3922 0.3246  5 Tm 3.49-3.57, 4 Th 3.51-3.58, 3 Pr 3.62-3.66
Pr2 0.4710 0.8915 0.6658  6 Pr 3.52-3.61, 3 Th 3.62-3.66, 3 Tm 3.68-3.70

=====

Entry 8:
DFT (PBE) results for a geometry-optimized YMg2BeSb structure.

Properties
Space-group type ... P4/mmm
Uncorrected formation energy ... 1.1528 eV per atom

a = 6.2183 Å, b = 5.6662 Å, c = 6.2183 Å
α = 90.00°, β = 90.00°, γ = 90.00°
Last column: nearest neighbours and their distance in Å.
Fractional coordinates of all 5 atoms:
Y1 0.0000 0.0000 0.0000  2 Sb 2.83, 4 Mg 3.11
Be1 0.5000 0.5000 0.5000  8 Mg 4.21, 4 Sb 4.40
Sb1 0.0000 0.5000 0.0000  2 Y 2.83
Mg1 0.5000 0.0000 0.0000  2 Y 3.11
Mg2 0.0000 0.0000 0.5000  2 Y 3.11

=====

Entry 9:
DFT (PBE) results for a geometry-optimized ThGa2HRu2 structure.

Properties
Total energy ... -6.372 eV per atom
Space-group type ... P4/mmm

a = 4.2289 Å, b = 4.2289 Å, c = 5.2058 Å
α = 90.00°, β = 90.00°, γ = 90.00°
Last column: nearest neighbours and their distance in Å.
Fractional coordinates of all 6 atoms:
Ru1 0.5000 0.0000 0.0000  2 H 2.11
Ru2 0.0000 0.5000 0.0000  2 H 2.11
Ga1 0.5000 0.5000 0.7360  2 Ga 2.46-2.75, 4 Ru 2.52
H1 0.0000 0.0000 0.0000  4 Ru 2.11
Th1 0.0000 0.0000 0.5000  2 H 2.60
Ga2 0.5000 0.5000 0.2640  2 Ga 2.46-2.75, 4 Ru 2.52

=====

Entry 10:
DFT (PBE) results for a geometry-optimized NaCdHgSb structure.

Properties
Space-group type ... F-43m
Uncorrected formation energy ... -0.1691 eV per atom

a = 5.2308 Å, b = 5.2308 Å, c = 5.2308 Å
α = 60.00°, β = 60.00°, γ = 60.00°
Last column: nearest neighbours and their distance in Å.
Fractional coordinates of all 4 atoms:
Sb1 0.5000 0.5000 0.5000  4 Cd 3.20, 4 Na 3.20
Hg1 0.0000 0.0000 0.0000  4 Cd 3.20, 4 Na 3.20
Na1 0.7500 0.7500 0.7500  4 Sb 3.20, 4 Hg 3.20
Cd1 0.2500 0.2500 0.2500  4 Hg 3.20, 4 Sb 3.20

=====

Entry 11:
DFT (PBE) results for a geometry-optimized PmMo2H8 structure.

Properties
Total energy ... -4.946 eV per atom
Space-group type ... Cm

a = 4.3913 Å, b = 4.8866 Å, c = 4.8866 Å
α = 118.43°, β = 90.15°, γ = 90.15°
Last column: nearest neighbours and their distance in Å.
Fractional coordinates of all 11 atoms:
H1 0.6251 0.0108 0.2681  2 Mo 1.85-1.86
H2 0.7411 0.6738 0.6738  2 Mo 1.87
Mo1 0.5529 0.6705 0.3282  7 H 1.77-1.87
H3 0.9524 0.6584 0.2792  1 Mo 1.77
H4 0.3137 0.6038 0.9918  2 Mo 1.84, 1 H 2.05
H5 0.9524 0.2792 0.6584  1 Mo 1.77
H6 0.3137 0.9918 0.6038  2 Mo 1.84, 1 H 2.05
Pm1 0.0741 0.0334 0.0334  6 H 2.27-2.31
H7 0.6251 0.2681 0.0108  2 Mo 1.85-1.86
Mo2 0.5529 0.3282 0.6705  7 H 1.77-1.87
H8 0.2967 0.4481 0.4481  2 Mo 1.84

=====

Entry 12:
DFT (PBE) results for a geometry-optimized Pa2Pb2S7 structure.

Properties
Space-group type ... Imm2
Uncorrected formation energy ... -1.1265 eV per atom

a = 3.9022 Å, b = 8.9145 Å, c = 8.9145 Å
α = 58.64°, β = 77.36°, γ = 77.36°
Last column: nearest neighbours and their distance in Å.
Fractional coordinates of all 11 atoms:
S1 0.1841 0.7086 0.9232  3 Pa 2.72-2.90, 1 Pb 2.87
Pb1 0.5000 0.3266 0.6734  1 S 2.66
Pa1 0.7423 0.8435 0.6720  7 S 2.69-2.90
S2 0.5000 0.0222 0.9778  3 Pb 2.66-2.70
S3 0.3652 0.7333 0.5364  2 Pa 2.69
S4 0.8432 0.4282 0.8853  3 Pa 2.84-3.14, 2 Pb 3.10
S5 0.6348 0.4636 0.2667  2 Pa 2.69
Pa2 0.2577 0.3280 0.1565  7 S 2.69-2.90
S6 0.8159 0.0768 0.2914  3 Pa 2.72-2.90, 1 Pb 2.87
S7 0.1568 0.1147 0.5718  3 Pa 2.84-3.14, 2 Pb 3.10
Pb2 0.0000 0.8084 0.1916  4 S 2.70-2.87